! Cs3RbAl | the Alexandria database | PBE | relaxed; values from VASP
! ΔH_f (0 K): 280 meV per atom
! space-group type: Pm-3m
! E: -1.17 eV/atom
&SYSTEM
  ibrav = 0, nat = 5, ntyp = 3
/
ATOMIC_SPECIES
Cs 132.91 Cs.upf
Al 26.98 Al.upf
Rb 85.47 Rb.upf
CELL_PARAMETERS angstrom
7.595 0.000 0.000
0.000 7.595 0.000
0.000 0.000 7.595
ATOMIC_POSITIONS crystal
Cs 0.000 0.500 0.000
Cs 0.000 0.000 0.500
Cs 0.500 0.000 0.000
Al 0.000 0.000 0.000
Rb 0.500 0.500 0.500